Entry from the Alexandria database: a relaxed structure of LaYTl2 (PBEsol).

Cell lengths 3.646, 5.275, 6.371 Å; angles 90.00, 90.00, 90.00 degrees
Space group Pmm2 (No. 25)
Unique sites:
La: 0.000 0.000 0.000 (multiplicity 1)
Y: 0.500 0.500 0.523 (multiplicity 1)
Tl: 0.000 0.000 0.500 (multiplicity 1)
Tl: 0.500 0.500 0.029 (multiplicity 1)

The value obtained for the total energy is -4.59 eV per atom. Its density of states at the Fermi level is 5.138 states/eV/cell.

---

Entry from the Alexandria database: a relaxed structure of TaTe5Pt (PBEsol).

Cell lengths 3.707, 13.286, 15.546 Å; angles 90.00, 90.00, 90.00 degrees
Space group Cmcm (No. 63)
Unique sites:
Ta: 0.000 0.011 0.250 (multiplicity 4)
Te: 0.000 0.109 0.083 (multiplicity 8)
Te: 0.000 0.329 0.750 (multiplicity 4)
Te: 0.000 0.399 0.148 (multiplicity 8)
Pt: 0.000 0.500 0.000 (multiplicity 4)

The calculation puts the formation energy from raw total energies at -0.36 eV per atom. Its density of states at the Fermi level is 6.397 states/eV/cell.

---

Entry from the Alexandria database: a relaxed structure of Zn2CrTc (PBEsol).

Cell lengths 2.985, 2.985, 5.910 Å; angles 90.00, 90.00, 90.00 degrees
Space group P4mm (No. 99)
Unique sites:
Zn: 0.000 0.000 0.000 (multiplicity 1)
Zn: 0.500 0.500 0.246 (multiplicity 1)
Cr: 0.000 0.000 0.515 (multiplicity 1)
Tc: 0.500 0.500 0.713 (multiplicity 1)

As for the energy above the lowest structure with this stoichiometry: 0.000 eV per atom. Its density of states at the Fermi level is 2.514 states/eV/cell.

---

Entry from the Alexandria database: a relaxed structure of NiBr2O (PBEsol).

Cell lengths 3.4009, 3.4009, 22.8409 Å; angles 90.00, 90.00, 120.00 degrees
Space group R-3m (No. 166, hexagonal axes)
Unique sites:
Ni: 0.0000 0.0000 0.0000 (multiplicity 3)
Br: 0.0000 0.0000 0.0947 (multiplicity 6)
O: 0.0000 0.0000 0.5000 (multiplicity 3)

The calculation puts the formation energy from raw total energies at 0.80 eV per atom. Its density of states at the Fermi level is 14.659 states/eV/cell.

---

Entry from the Alexandria database: a relaxed structure of BaPd (PBEsol).

Cell lengths 4.5520, 4.5520, 16.3138 Å; angles 90.00, 90.00, 120.00 degrees
Space group P6_3/mmc (No. 194)
Unique sites:
Ba: 0.3333 0.6667 0.1284 (multiplicity 4)
Pd: 0.0000 0.0000 0.2500 (multiplicity 2)
Pd: 0.3333 0.6667 0.7500 (multiplicity 2)

The value obtained for the total energy is -4.48 eV per atom. Its density of states at the Fermi level is 6.109 states/eV/cell.

---

Entry from the Alexandria database: a relaxed structure of TaMn3P (PBEsol).

Cell lengths 4.032, 4.032, 4.032 Å; angles 90.00, 90.00, 90.00 degrees
Space group Pm-3m (No. 221)
Unique sites:
Ta: 0.000 0.000 0.000 (multiplicity 1)
Mn: 0.000 0.500 0.500 (multiplicity 3)
P: 0.500 0.500 0.500 (multiplicity 1)

The value obtained for the total energy is -9.31 eV per atom. Its density of states at the Fermi level is 3.827 states/eV/cell.

---

Entry from the Alexandria database: a relaxed structure of ZnAsRu2 (PBEsol).

Cell lengths 2.920, 3.881, 10.117 Å; angles 90.00, 90.00, 90.00 degrees
Space group Imm2 (No. 44)
Unique sites:
Zn: 0.000 0.000 0.000 (multiplicity 2)
As: 0.000 0.500 0.746 (multiplicity 2)
Ru: 0.000 0.000 0.435 (multiplicity 2)
Ru: 0.000 0.500 0.180 (multiplicity 2)

As for the energy above the lowest structure with this stoichiometry: 0.000 eV per atom. Its density of states at the Fermi level is 8.882 states/eV/cell.

---

Entry from the Alexandria database: a relaxed structure of In2BrCl (PBEsol).

Cell lengths 11.864, 4.364, 4.426 Å; angles 90.00, 90.20, 90.00 degrees
Space group Cm (No. 8)
Unique sites:
In: 0.000 0.000 0.000 (multiplicity 2)
In: 0.210 0.000 0.505 (multiplicity 2)
Br: 0.250 0.500 0.007 (multiplicity 2)
Cl: 0.449 0.000 0.509 (multiplicity 2)

The calculation puts the formation energy from raw total energies at -0.68 eV per atom. As for the energy above the lowest structure with this stoichiometry: 0.000 eV per atom.